First-principles (PBEsol) data for a relaxed KZrPCO7 crystal, as listed in Alexandria via LeMat-Bulk.

Structure (CIF):
```
data_KZrPCO7
_chemical_formula_sum 'K2 Zr2 P2 C2 O14'
_space_group_name_H-M_alt 'P 1 21 1'
_space_group_IT_number 4
_space_group_name_Hall 'P 2yb'
_cell_length_a 5.286
_cell_length_b 6.638
_cell_length_c 9.825
_cell_angle_alpha 90.00
_cell_angle_beta 92.59
_cell_angle_gamma 90.00
loop_
_atom_site_label
_atom_site_fract_x
_atom_site_fract_y
_atom_site_fract_z
K1 0.071 0.000 0.109
Zr1 0.270 0.864 0.659
P1 0.260 0.362 0.574
C1 0.499 0.345 0.103
O1 0.051 0.359 0.461
O2 0.234 0.549 0.665
O3 0.246 0.174 0.665
O4 0.248 0.854 0.874
O5 0.378 0.334 0.217
O6 0.397 0.347 0.986
O7 0.482 0.866 0.494
```

Summary:
* theoretical density: 2.75 g cm⁻³
* D(E_F): 0.00 states/eV/atom
* volume: 344.4 Å³ per cell
* formation energy from raw total energies: -2.37 eV/atom